# 1
{"formula": "KMg2Pt", "functional": "PBE", "state": "relaxed", "cell": [[8.594, 0.021, -0.004], [6.885, 5.143, 0.004], [-7.436, -3.493, 2.523]], "species": ["Mg", "Mg", "K", "Pt"], "frac_coords": [[0.649, 0.149, 0.500], [0.008, 0.008, 0.000], [0.328, 0.828, 0.500], [0.515, 0.515, 0.000]], "formation_enthalpy_0k_ev_per_atom": -0.275, "spacegroup": "Imm2"}

# 2
{"formula": "BSb2N", "functional": "PBE", "state": "relaxed", "cell": [[1.880, 1.577, 3.659], [0.411, 4.350, 0.566], [-2.451, 2.069, 3.020]], "species": ["Sb", "N", "B", "Sb"], "frac_coords": [[0.250, 0.250, 0.250], [0.500, 0.500, 0.500], [0.000, 0.000, 0.000], [0.750, 0.750, 0.750]], "raw_formation_energy_ev_per_atom": 1.50, "spacegroup": "Fm-3m"}

# 3
{"formula": "TcNi2I", "functional": "PBE", "state": "relaxed", "cell": [[-4.182, 0.935, 1.151], [-1.658, 4.045, -0.760], [-3.087, 0.579, -3.134]], "species": ["Ni", "Tc", "I", "Ni"], "frac_coords": [[0.750, 0.750, 0.750], [0.000, 0.000, 0.000], [0.500, 0.500, 0.500], [0.250, 0.250, 0.250]], "raw_formation_energy_ev_per_atom": 0.94, "spacegroup": "Fm-3m"}

# 4
{"formula": "Cs2ScBiSe4", "functional": "PBE", "state": "relaxed", "cell": [[7.050, 0.000, 0.000], [3.525, 7.676, 0.000], [3.525, 0.000, 12.724]], "species": ["Cs", "Bi", "Cs", "Se", "Se", "Se", "Se", "Se", "Sc", "Cs", "Sc", "Bi", "Se", "Se", "Cs", "Se"], "frac_coords": [[0.820, 0.000, 0.361], [0.500, 0.000, 0.000], [0.930, 0.500, 0.139], [0.572, 0.304, 0.608], [0.930, 0.804, 0.892], [0.820, 0.696, 0.608], [0.266, 0.804, 0.108], [0.178, 0.196, 0.892], [0.750, 0.500, 0.500], [0.570, 0.500, 0.861], [0.000, 0.000, 0.000], [0.250, 0.500, 0.500], [0.124, 0.304, 0.392], [0.626, 0.196, 0.108], [0.180, 0.000, 0.639], [0.484, 0.696, 0.392]], "raw_formation_energy_ev_per_atom": -1.11, "spacegroup": "Fddd"}

# 5
{"formula": "KCdPb2", "functional": "PBE", "state": "relaxed", "cell": [[-3.472, -1.749, -3.918], [-3.355, -4.197, -1.259], [-6.128, 2.674, 2.730]], "species": ["Pb", "Cd", "Pb", "K"], "frac_coords": [[0.512, 0.512, 0.437], [0.250, 0.250, 0.250], [0.988, 0.988, 0.063], [0.750, 0.750, 0.750]], "formation_enthalpy_0k_ev_per_atom": -0.057, "spacegroup": "C2/m"}

# 6
{"formula": "HfTePtCl2", "functional": "PBE", "state": "relaxed", "cell": [[-0.801, -3.302, -3.264], [5.728, -1.288, -0.103], [-0.658, -3.198, 3.397]], "species": ["Hf", "Te", "Cl", "Pt", "Cl"], "frac_coords": [[0.000, 0.000, 0.000], [0.000, 0.500, 0.000], [0.500, 0.000, 0.000], [0.500, 0.500, 0.500], [0.000, 0.000, 0.500]], "raw_formation_energy_ev_per_atom": -0.29, "spacegroup": "P4/mmm"}

# 7
{"formula": "LiTm2Pu", "functional": "PBE", "state": "relaxed", "cell": [[-1.520, 0.774, -2.964], [-0.464, -2.422, -2.369], [-10.407, -2.956, 2.584]], "species": ["Tm", "Li", "Pu", "Tm"], "frac_coords": [[0.082, 0.082, 0.754], [0.666, 0.666, 0.000], [0.500, 0.500, 0.500], [0.252, 0.252, 0.246]], "formation_enthalpy_0k_ev_per_atom": 0.177, "spacegroup": "R3m"}

# 8
{"formula": "MoOsAu2", "functional": "PBE", "state": "relaxed", "cell": [[9.808, 0.024, 0.014], [9.398, 2.807, 0.014], [9.398, 1.385, 2.441]], "species": ["Au", "Au", "Os", "Mo"], "frac_coords": [[0.003, 0.003, 0.003], [0.246, 0.246, 0.246], [0.756, 0.756, 0.756], [0.495, 0.495, 0.495]], "formation_enthalpy_0k_ev_per_atom": 0.170, "spacegroup": "R3m"}

# 9
{"formula": "Ce2CdOs", "functional": "PBE", "state": "relaxed", "cell": [[4.087, 0.000, 0.000], [2.043, 3.539, 0.000], [2.043, 1.180, 7.729]], "species": ["Ce", "Os", "Ce", "Cd"], "frac_coords": [[0.270, 0.270, 0.190], [0.666, 0.666, 0.002], [0.064, 0.064, 0.809], [0.500, 0.500, 0.499]], "formation_enthalpy_0k_ev_per_atom": -0.101, "spacegroup": "R3m"}